Record 1
The following is a PBE calculation of a relaxed Rb2TlZnF5 crystal, from the Alexandria database.

## Properties
Magnetic moment = 0.1 Bohr magnetons per cell
Crystal system = tetragonal
Energy relative to the elements, uncorrected = -2053.2 kJ/mol of formula units

Geometry as extended XYZ:
```
18
Lattice="-3.8565 3.8565 6.1255 3.8565 -3.8565 6.1255 3.8565 3.8565 -6.1255" Properties=species:S:1:pos:R:3 pbc="T T T"
Rb 5.2161 1.3596 0.0000
Rb 1.3596 2.4968 0.0000
Rb 2.4968 1.3596 6.1255
Rb -1.3596 2.4968 6.1255
Tl 0.0000 0.0000 3.0628
Tl 0.0000 0.0000 9.1883
Zn 3.8565 0.0000 3.0628
Zn 0.0000 3.8565 3.0628
F 0.0000 0.0000 0.0000
F 4.9301 -1.0737 1.8832
F 2.7828 -1.0737 4.2423
F 2.7828 1.0737 1.8832
F 4.9301 1.0737 4.2423
F 0.0000 0.0000 6.1255
F -1.0737 2.7828 1.8832
F 1.0737 2.7828 4.2423
F 1.0737 4.9301 1.8832
F -1.0737 4.9301 4.2423
```



Record 2
The following is a PBE calculation of a relaxed Rb3TlZn2F8 crystal, from the Alexandria database.

## Properties
Magnetic moment = 0.0 Bohr magnetons per cell
Crystal system = trigonal
Energy relative to the elements, uncorrected = -3247.7 kJ/mol of formula units

Geometry as extended XYZ:
```
14
Lattice="6.4972 0.0000 0.0000 -3.2486 5.6267 0.0000 0.0000 0.0000 8.3053" Properties=species:S:1:pos:R:3 pbc="T T T"
Rb 0.0000 0.0000 0.0000
Rb 0.0000 3.7511 5.4025
Rb 3.2486 1.8756 2.9028
Tl 0.0000 0.0000 4.1526
Zn 0.0000 3.7511 1.5692
Zn 3.2486 1.8756 6.7361
F 0.0000 1.9936 2.3967
F -1.5220 4.6299 2.3967
F 0.0000 3.7511 7.9914
F 1.7265 0.9968 5.9086
F 1.5220 4.6299 2.3967
F 3.2486 1.8756 0.3139
F 4.7706 0.9968 5.9086
F 3.2486 3.6331 5.9086
```



Record 3
The following is a PBE calculation of a relaxed Rb3TlZn2F9 crystal, from the Alexandria database.

## Properties
Magnetic moment = 0.0 Bohr magnetons per cell
Crystal system = trigonal
Energy relative to the elements, uncorrected = -3474.3 kJ/mol of formula units

Geometry as extended XYZ:
```
15
Lattice="6.1482 0.0000 0.0000 -3.0741 5.3245 0.0000 0.0000 0.0000 7.6256" Properties=species:S:1:pos:R:3 pbc="T T T"
Rb 0.0000 0.0000 0.0000
Rb 0.0000 3.5496 5.1362
Rb 3.0741 1.7748 2.4894
Tl 0.0000 0.0000 3.8128
Zn 0.0000 3.5496 1.1429
Zn 3.0741 1.7748 6.4827
F -1.5370 2.6622 0.0000
F 0.0000 1.9053 2.3747
F -1.4241 4.3718 2.3747
F 1.6500 0.9526 5.2509
F 3.0741 0.0000 0.0000
F 1.5370 2.6622 0.0000
F 1.4241 4.3718 2.3747
F 4.4982 0.9526 5.2509
F 3.0741 3.4192 5.2509
```